Here is an optimized crystal structure of NbVIr2 from the Alexandria database. Energies are from GGA-PBE.

Calculated values
Relative energy among the computed polymorphs = 35 meV per atom
E = -38.872 eV/cell
Calculated formation energy = -0.490 eV/atom

Cell lengths 3.8280, 3.9720, 3.9720 Å; angles 90.00, 90.00, 90.00 degrees
Sites, in units of the cell vectors:
Nb 0.5000 0.0000 0.0000
Ir 0.0000 0.0000 0.5000
Ir 0.0000 0.5000 0.0000
V 0.5000 0.5000 0.5000